Here is an optimized crystal structure of TcTeW2 from Alexandria via LeMat-Bulk. Energies are from PBE.

Output
Energy above the most stable polymorph in this dataset: 0.321 eV/atom
Space-group type: No. 123

a b c (Å): 4.6547 4.6547 3.1241
angles (deg): 90.00 90.00 90.00
Positions (direct):
Tc (0.5000, 0.0000, 0.5000)
Te (0.0000, 0.5000, 0.5000)
W (0.0000, 0.0000, 0.0000)
W (0.5000, 0.5000, 0.0000)